Entry 1:
Compound: Y2ScZnPd
Source: the Alexandria database
Functional: PBE
Structure: relaxed

Calculated values
As for the symmetry: No. 123. For the energy of formation from the pure elements, the calculation gives -0.021 eV per atom. The calculation puts the density of states at the Fermi level at 1.964 states/eV per atom. For the density, the calculation gives 4450 kg/m³.

a b c (Å): 5.4488 4.9599 5.4488
angles (deg): 90.00 90.00 90.00
Last column: nearest neighbours and their distance in Å.
Fractional coordinates of all 5 atoms:
Zn (0.5000, 0.5000, 0.5000)  8 Y 3.68, 4 Sc 3.85
Y (0.5000, 0.0000, 0.0000)  2 Pd 2.72
Y (0.0000, 0.0000, 0.5000)  2 Pd 2.72
Sc (0.0000, 0.5000, 0.0000)  2 Pd 2.48
Pd (0.0000, 0.0000, 0.0000)  2 Sc 2.48, 4 Y 2.72

---

Entry 2:
Compound: TbSmI
Source: the Alexandria database
Functional: PBE
Structure: relaxed

Calculated values
As for the symmetry: No. 156. The formation energy (no corrections) comes out at -12.261 kcal/mol of atoms. The calculation puts the density of states at the Fermi level at 1.256 states/eV per atom. The offset from the most stable computed form comes out at 0.000 eV per atom. For the density, the calculation gives 7287 kg/m³.

a b c (Å): 3.8700 3.8700 7.6638
angles (deg): 90.00 90.00 120.00
Last column: nearest neighbours and their distance in Å.
Fractional coordinates of all 3 atoms:
I (0.6667, 0.3333, 0.3301)  3 Tb 3.31, 3 Sm 3.37
Tb (0.0000, 0.0000, 0.0108)  3 I 3.31, 3 Sm 3.50
Sm (0.3333, 0.6667, 0.6591)  3 I 3.37, 3 Tb 3.50

---

Asked for energy across the records above, the calculation gives -25.83; -12.49 eV/cell in order.